Density functional theory data (GGA-PBE) for a relaxed structure of Zr3Be2Co5.

a b c (Å): 8.9700 8.9700 3.2438
angles (deg): 90.00 90.00 90.00
Space group P4/mbm (No. 127)
Unique sites:
1 Zr 0.0000 0.0000 0.0000 [2 per cell]
2 Zr 0.1754 0.3246 0.0000 [4 per cell]
3 Be 0.1169 0.6169 0.0000 [4 per cell]
4 Co 0.0000 0.5000 0.5000 [2 per cell]
5 Co 0.0700 0.7773 0.5000 [8 per cell]

Properties
total DFT energy (no corrections)	-0.5333	Ry/atom
E_form	-3.932	eV per formula unit
calculated density	7.46	Mg/m³


Density functional theory data (GGA-PBE) for a relaxed structure of ZrBe2Co.

a b c (Å): 2.8303 2.8303 6.1885
angles (deg): 90.00 90.00 90.00
Space group P4mm (No. 99)
Unique sites:
1 Zr 0.0000 0.0000 0.0000 [1 per cell]
2 Be 0.0000 0.0000 0.5257 [1 per cell]
3 Be 0.5000 0.5000 0.3367 [1 per cell]
4 Co 0.5000 0.5000 0.7026 [1 per cell]

Properties
total DFT energy (no corrections)	-0.4274	Ry/atom
energy relative to the lowest polymorph listed for this composition	223	meV/atom
E_form	-0.155	eV per formula unit
calculated density	5.63	Mg/m³


Density functional theory data (GGA-PBE) for a relaxed structure of Zr2BeCo.

a b c (Å): 3.3648 3.9012 5.2553
angles (deg): 90.00 108.49 90.00
Space group Pm (No. 6)
Unique sites:
1 Zr 0.0000 0.0000 0.0000 [1 per cell]
2 Zr 0.2795 0.5000 0.5614 [1 per cell]
3 Be 0.5683 0.5000 0.1367 [1 per cell]
4 Co 0.7044 0.0000 0.4085 [1 per cell]

Properties
total DFT energy (no corrections)	-0.5310	Ry/atom
E_form	-0.968	eV per formula unit
calculated density	6.36	Mg/m³


Density functional theory data (GGA-PBE) for a relaxed structure of ZrBeCo2.

a b c (Å): 4.6162 4.3047 11.0703
angles (deg): 90.00 90.00 90.00
Space group Pmma (No. 51)
Unique sites:
1 Zr 0.2500 0.0000 0.0957 [2 per cell]
2 Zr 0.2500 0.5000 0.3107 [2 per cell]
3 Be 0.2500 0.0000 0.6633 [2 per cell]
4 Be 0.2500 0.5000 0.5503 [2 per cell]
5 Co 0.0000 0.0000 0.5000 [2 per cell]
6 Co 0.0000 0.5000 0.0000 [2 per cell]
7 Co 0.2500 0.2518 0.8302 [4 per cell]

Properties
total DFT energy (no corrections)	-0.4836	Ry/atom
E_form	0.168	eV per formula unit
calculated density	6.59	Mg/m³